No. 1
Below is a relaxed structure of MnMo2RuC, with properties calculated at the GGA-PBE level.

The energy of formation from the pure elements is 0.098 eV/atom. The calculated total energy is -0.3590 Ha/atom. The calculation puts the density of states at the Fermi level at 3.31 states/eV/f.u. Its total magnetization is 0.95 μB per cell.

Cell lengths 4.117, 4.117, 3.830 Å; angles 90.00, 90.00, 90.00 degrees
Element x y z (fractional)
1 Mn 0.000 0.000 0.000
2 Mo 0.000 0.500 0.500
3 Mo 0.500 0.000 0.500
4 Ru 0.500 0.500 0.000
5 C 0.000 0.000 0.500



No. 2
Below is a relaxed structure of TbSbRhAu, with properties calculated at the GGA-PBE level.

The calculated total energy is -0.1993 Ha/atom. The value obtained for the formation energy without anion corrections is -0.58 eV/atom. The calculation puts the density of states at the Fermi level at 2.98 states/eV/f.u. Its total magnetization is 0.00 μB per cell.

Cell lengths 4.880, 4.880, 4.880 Å; angles 60.00, 60.00, 60.00 degrees
Element x y z (fractional)
1 Tb 0.000 0.000 0.000
2 Sb 0.500 0.500 0.500
3 Rh 0.750 0.750 0.750
4 Au 0.250 0.250 0.250



No. 3
Below is a relaxed structure of Zn2CrIr, with properties calculated at the GGA-PBE level.

The energy of formation from the pure elements is 0.019 eV/atom. The energy above the most stable polymorph in this dataset is 112.3 meV per atom. The calculated total energy is -0.1925 Ha/atom. The calculation puts the density of states at the Fermi level at 3.80 states/eV/f.u. Its total magnetization is 2.52 μB per cell.

Cell lengths 2.943, 4.344, 4.400 Å; angles 90.00, 90.00, 90.00 degrees
Element x y z (fractional)
1 Zn 0.000 0.000 0.000
2 Zn 0.500 0.000 0.500
3 Cr 0.000 0.500 0.500
4 Ir 0.500 0.500 0.000